1.
The following is a DFT calculation (PBE-GGA) of a relaxed structure of LaNi2Pt.

Properties
**VASP energy**: -23.2 eV for the cell shown
**Density of states at the Fermi level**: 4.8 states/eV/f.u.

Lattice parameters (Å, degrees): 3.7026 3.1227 6.7011 61.99 90.00 90.00
Last column: nearest neighbours and their distance in Å.
Positions (direct):
La 0.5000 0.7500 0.7500  2 Pt 2.96, 8 Ni 3.00, 2 La 3.12
Ni 0.0000 0.9502 0.0492  1 Ni 2.38
Ni 0.0000 0.5498 0.4508  1 Ni 2.38
Pt 0.5000 0.2500 0.2500  8 Ni 2.69-2.70, 2 La 2.96

---

2.
The following is a DFT calculation (PBE-GGA) of a relaxed structure of Ce2CuP4.

Properties
**VASP energy**: -43.9 eV for the cell shown
**Density of states at the Fermi level**: 3.2 states/eV/f.u.

Lattice parameters (Å, degrees): 3.8112 3.8112 9.2954 90.00 90.00 90.00
Last column: nearest neighbours and their distance in Å.
Positions (direct):
Ce 0.5000 0.0000 0.7449  8 P 2.88-2.97, 2 Cu 3.04
Ce 0.0000 0.5000 0.2551  8 P 2.88-2.97, 2 Cu 3.04
Cu 0.5000 0.5000 0.0000  4 P 2.33
P 0.5000 0.0000 0.1449  2 Cu 2.33
P 0.0000 0.5000 0.8551  2 Cu 2.33
P 0.5000 0.5000 0.5000  4 P 2.69, 4 Ce 2.97
P 0.0000 0.0000 0.5000  4 P 2.69, 4 Ce 2.97

---

Question: What is the formula in the first record?
Answer: LaNi2Pt